(1)
Below is a geometry-optimized Ho2Mn12P7 structure, with properties calculated at the GGA-PBEsol level.

a = 9.1051 Å, b = 9.1051 Å, c = 3.5611 Å
α = 90.00°, β = 90.00°, γ = 120.00°
Space group P-6 (No. 174)
Unique sites:
Ho: 0.0000 0.0000 0.0000 [1 per cell]
Ho: 0.3333 0.6667 0.5000 [1 per cell]
Mn: 0.0578 0.2888 0.5000 [3 per cell]
Mn: 0.0920 0.7106 0.0000 [3 per cell]
Mn: 0.3902 0.1774 0.0000 [3 per cell]
Mn: 0.5463 0.4346 0.5000 [3 per cell]
P: 0.0766 0.4537 0.0000 [3 per cell]
P: 0.2587 0.2076 0.5000 [3 per cell]
P: 0.6667 0.3333 0.0000 [1 per cell]

Calculated values
Energy relative to the elements (kcal/mol of atoms): -17.14
Calculated density (g/cm3): 7.8
M_tot (μB/atom): 0.69

(2)
Below is a geometry-optimized HfAsBr2Cl structure, with properties calculated at the GGA-PBEsol level.

a = 5.063 Å, b = 5.063 Å, c = 5.300 Å
α = 90.00°, β = 90.00°, γ = 90.00°
Space group P4/mmm (No. 123)
Unique sites:
Hf: 0.000 0.000 0.000 [1 per cell]
As: 0.000 0.000 0.500 [1 per cell]
Br: 0.000 0.500 0.000 [2 per cell]
Cl: 0.500 0.500 0.500 [1 per cell]

Calculated values
Distance to the lowest polymorph of the same formula (kJ/mol of formula units): 0.0
Formation energy without anion corrections (eV/atom): -0.41
Calculated density (g/cm3): 5.5
M_tot (μB/atom): 0.00

(3)
Below is a geometry-optimized SbAsPd5 structure, with properties calculated at the GGA-PBEsol level.

a = 12.190 Å, b = 12.190 Å, c = 12.190 Å
α = 90.00°, β = 90.00°, γ = 90.00°
Space group Fd-3m (No. 227, origin choice 2)
Unique sites:
Sb: 0.000 0.000 0.000 [16 per cell]
As: 0.000 0.000 0.500 [16 per cell]
Pd: 0.035 0.035 0.215 [32 per cell]
Pd: 0.090 0.375 0.875 [48 per cell]

Calculated values
Formation energy without anion corrections (eV/atom): -0.39
Calculated density (g/cm3): 10.7
M_tot (μB/atom): 0.00

(4)
Below is a geometry-optimized MgSnHgPb2 structure, with properties calculated at the GGA-PBEsol level.

a = 5.817 Å, b = 5.817 Å, c = 5.236 Å
α = 90.00°, β = 90.00°, γ = 90.00°
Space group P4/mmm (No. 123)
Unique sites:
Mg: 0.000 0.000 0.000 [1 per cell]
Sn: 0.000 0.000 0.500 [1 per cell]
Hg: 0.500 0.500 0.000 [1 per cell]
Pb: 0.000 0.500 0.500 [2 per cell]

Calculated values
Energy relative to the elements (kcal/mol of atoms): 11.55
Calculated density (g/cm3): 7.1
M_tot (μB/atom): 0.00

(5)
Below is a geometry-optimized CrInPb2 structure, with properties calculated at the GGA-PBEsol level.

a = 6.595 Å, b = 8.561 Å, c = 3.459 Å
α = 90.00°, β = 90.00°, γ = 90.00°
Space group Cmmm (No. 65)
Unique sites:
Cr: 0.000 0.000 0.000 [2 per cell]
In: 0.000 0.500 0.000 [2 per cell]
Pb: 0.250 0.250 0.500 [4 per cell]

Calculated values
Energy relative to the elements (kcal/mol of atoms): 10.08
Calculated density (g/cm3): 9.9
M_tot (μB/atom): 1.05

(6)
Below is a geometry-optimized MnSi7 structure, with properties calculated at the GGA-PBEsol level.

a = 7.465 Å, b = 7.465 Å, c = 7.465 Å
α = 90.00°, β = 90.00°, γ = 90.00°
Space group Fm-3m (No. 225)
Unique sites:
Mn: 0.000 0.000 0.000 [4 per cell]
Si: 0.000 0.000 0.500 [4 per cell]
Si: 0.000 0.250 0.250 [24 per cell]

Calculated values
Formation energy without anion corrections (eV/atom): 0.27
Calculated density (g/cm3): 4.0
M_tot (μB/atom): 0.22

(7)
Below is a geometry-optimized AgSbRh2 structure, with properties calculated at the GGA-PBEsol level.

a = 2.973 Å, b = 3.968 Å, c = 5.509 Å
α = 90.00°, β = 90.00°, γ = 90.00°
Space group Pmm2 (No. 25)
Unique sites:
Ag: 0.000 0.000 0.000 [1 per cell]
Sb: 0.500 0.500 0.692 [1 per cell]
Rh: 0.000 0.000 0.485 [1 per cell]
Rh: 0.500 0.500 0.214 [1 per cell]

Calculated values
Distance to the lowest polymorph of the same formula (kJ/mol of formula units): 106.5
Formation energy without anion corrections (eV/atom): 0.08
Calculated density (g/cm3): 11.1
M_tot (μB/atom): 0.00

(8)
Below is a geometry-optimized TmSeO3F structure, with properties calculated at the GGA-PBEsol level.

a = 6.493 Å, b = 6.755 Å, c = 7.016 Å
α = 90.00°, β = 98.84°, γ = 90.00°
Space group P2_1/c (No. 14)
Unique sites:
Tm: 0.136 0.143 0.324 [4 per cell]
Se: 0.357 0.617 0.293 [4 per cell]
O: 0.173 0.035 0.647 [4 per cell]
O: 0.175 0.693 0.784 [4 per cell]
O: 0.482 0.190 0.364 [4 per cell]
F: 0.169 0.112 0.025 [4 per cell]

Calculated values
Formation energy without anion corrections (eV/atom): -2.45
Calculated density (g/cm3): 6.9
M_tot (μB/atom): 0.00

(9)
Below is a geometry-optimized BiIO4 structure, with properties calculated at the GGA-PBEsol level.

a = 5.579 Å, b = 11.004 Å, c = 5.666 Å
α = 90.00°, β = 90.00°, γ = 90.00°
Space group Pca2_1 (No. 29)
Unique sites:
Bi: 0.012 0.112 0.000 [4 per cell]
I: 0.001 0.630 0.974 [4 per cell]
O: 0.119 0.220 0.386 [4 per cell]
O: 0.160 0.702 0.227 [4 per cell]
O: 0.242 0.435 0.139 [4 per cell]
O: 0.243 0.999 0.741 [4 per cell]

Calculated values
Formation energy without anion corrections (eV/atom): -0.81
Calculated density (g/cm3): 7.6
M_tot (μB/atom): 0.00

(10)
Below is a geometry-optimized KAgSCl2 structure, with properties calculated at the GGA-PBEsol level.

a = 5.109 Å, b = 5.109 Å, c = 4.740 Å
α = 90.00°, β = 90.00°, γ = 90.00°
Space group P4/mmm (No. 123)
Unique sites:
K: 0.000 0.000 0.000 [1 per cell]
Ag: 0.500 0.500 0.500 [1 per cell]
S: 0.500 0.500 0.000 [1 per cell]
Cl: 0.000 0.500 0.500 [2 per cell]

Calculated values
Formation energy without anion corrections (eV/atom): -0.60
Calculated density (g/cm3): 3.4
M_tot (μB/atom): 0.18

(11)
Below is a geometry-optimized HfCr2RhBr structure, with properties calculated at the GGA-PBEsol level.

a = 4.741 Å, b = 4.741 Å, c = 4.852 Å
α = 90.00°, β = 90.00°, γ = 90.00°
Space group P4/mmm (No. 123)
Unique sites:
Hf: 0.000 0.000 0.000 [1 per cell]
Cr: 0.000 0.500 0.000 [2 per cell]
Rh: 0.500 0.500 0.500 [1 per cell]
Br: 0.000 0.000 0.500 [1 per cell]

Calculated values
Formation energy without anion corrections (eV/atom): 1.83
Calculated density (g/cm3): 7.1
M_tot (μB/atom): 1.28

(12)
Below is a geometry-optimized KSiHg2Rh structure, with properties calculated at the GGA-PBEsol level.

a = 5.149 Å, b = 5.149 Å, c = 5.145 Å
α = 90.00°, β = 90.00°, γ = 90.00°
Space group P4/mmm (No. 123)
Unique sites:
K: 0.000 0.000 0.000 [1 per cell]
Si: 0.500 0.500 0.000 [1 per cell]
Hg: 0.000 0.500 0.500 [2 per cell]
Rh: 0.000 0.000 0.500 [1 per cell]

Calculated values
Formation energy without anion corrections (eV/atom): 0.87
Calculated density (g/cm3): 7.0
M_tot (μB/atom): 0.09

(13)
Below is a geometry-optimized SrSiHg structure, with properties calculated at the GGA-PBEsol level.

a = 4.3947 Å, b = 4.3947 Å, c = 4.6036 Å
α = 90.00°, β = 90.00°, γ = 120.00°
Space group P-6m2 (No. 187)
Unique sites:
Sr: 0.0000 0.0000 0.0000 [1 per cell]
Si: 0.6667 0.3333 0.5000 [1 per cell]
Hg: 0.3333 0.6667 0.5000 [1 per cell]

Calculated values
Formation energy without anion corrections (eV/atom): -0.45
Calculated density (g/cm3): 6.8
M_tot (μB/atom): 0.00

(14)
Below is a geometry-optimized MnCo2Pt structure, with properties calculated at the GGA-PBEsol level.

a = 2.685 Å, b = 2.685 Å, c = 6.802 Å
α = 90.00°, β = 90.00°, γ = 90.00°
Space group P4mm (No. 99)
Unique sites:
Mn: 0.000 0.000 0.000 [1 per cell]
Co: 0.000 0.000 0.549 [1 per cell]
Co: 0.500 0.500 0.758 [1 per cell]
Pt: 0.500 0.500 0.279 [1 per cell]

Calculated values
Energy relative to the elements (kcal/mol of atoms): 0.28
Calculated density (g/cm3): 12.5
M_tot (μB/atom): 1.74

(15)
Below is a geometry-optimized DyMoBrO4 structure, with properties calculated at the GGA-PBEsol level.

a = 6.794 Å, b = 7.167 Å, c = 10.879 Å
α = 105.21°, β = 107.60°, γ = 93.09°
Space group P-1 (No. 2)
Unique sites:
Dy: 0.110 0.346 0.232 [2 per cell]
Dy: 0.141 0.121 0.731 [2 per cell]
Mo: 0.234 0.811 0.133 [2 per cell]
Mo: 0.272 0.593 0.628 [2 per cell]
Br: 0.243 0.002 0.485 [2 per cell]
Br: 0.304 0.287 0.019 [2 per cell]
O: 0.109 0.018 0.183 [2 per cell]
O: 0.125 0.647 0.203 [2 per cell]
O: 0.154 0.795 0.703 [2 per cell]
O: 0.170 0.728 0.959 [2 per cell]
O: 0.171 0.505 0.451 [2 per cell]
O: 0.215 0.413 0.700 [2 per cell]
O: 0.459 0.349 0.325 [2 per cell]
O: 0.496 0.135 0.794 [2 per cell]

Calculated values
Formation energy without anion corrections (eV/atom): -2.44
Calculated density (g/cm3): 5.5
M_tot (μB/atom): 0.00

(16)
Below is a geometry-optimized LiAlB14 structure, with properties calculated at the GGA-PBEsol level.

a = 5.836 Å, b = 10.298 Å, c = 8.098 Å
α = 90.00°, β = 90.00°, γ = 90.00°
Space group Imma (No. 74)
Unique sites:
Li: 0.000 0.250 0.150 [4 per cell]
Al: 0.250 0.250 0.750 [4 per cell]
B: 0.000 0.085 0.671 [8 per cell]
B: 0.000 0.150 0.881 [8 per cell]
B: 0.000 0.166 0.469 [8 per cell]
B: 0.159 0.062 0.336 [16 per cell]
B: 0.249 0.080 0.544 [16 per cell]

Calculated values
Energy relative to the elements (kcal/mol of atoms): -4.41
Calculated density (g/cm3): 2.5
M_tot (μB/atom): 0.00

(17)
Below is a geometry-optimized KSrTl2 structure, with properties calculated at the GGA-PBEsol level.

a = 3.8631 Å, b = 3.8631 Å, c = 33.0900 Å
α = 90.00°, β = 90.00°, γ = 120.00°
Space group R-3m (No. 166, hexagonal axes)
Unique sites:
K: 0.0000 0.0000 0.0000 [3 per cell]
Sr: 0.0000 0.0000 0.5000 [3 per cell]
Tl: 0.0000 0.0000 0.2458 [6 per cell]

Calculated values
Distance to the lowest polymorph of the same formula (kJ/mol of formula units): 58.2
Energy relative to the elements (kcal/mol of atoms): -1.75
Calculated density (g/cm3): 6.2
M_tot (μB/atom): 0.00

(18)
Below is a geometry-optimized BaTbCuBO5 structure, with properties calculated at the GGA-PBEsol level.

a = 5.405 Å, b = 5.405 Å, c = 7.429 Å
α = 90.00°, β = 90.00°, γ = 90.00°
Space group P4bm (No. 100)
Unique sites:
Ba: 0.000 0.000 0.000 [2 per cell]
Tb: 0.000 0.000 0.510 [2 per cell]
Cu: 0.000 0.500 0.722 [2 per cell]
B: 0.000 0.500 0.254 [2 per cell]
O: 0.000 0.500 0.067 [2 per cell]
O: 0.160 0.340 0.343 [4 per cell]
O: 0.248 0.748 0.707 [4 per cell]

Calculated values
Formation energy without anion corrections (eV/atom): -2.53
Calculated density (g/cm3): 6.9
M_tot (μB/atom): 0.00

(19)
Below is a geometry-optimized SrTlCd2 structure, with properties calculated at the GGA-PBEsol level.

a = 3.650 Å, b = 5.122 Å, c = 5.946 Å
α = 90.00°, β = 90.10°, γ = 90.00°
Space group P2/m (No. 10)
Unique sites:
Sr: 0.000 0.000 0.000 [1 per cell]
Tl: 0.500 0.000 0.500 [1 per cell]
Cd: 0.499 0.500 0.754 [2 per cell]

Calculated values
Energy relative to the elements (kcal/mol of atoms): -4.47
Calculated density (g/cm3): 7.7
M_tot (μB/atom): 0.00

(20)
Below is a geometry-optimized TePPd3 structure, with properties calculated at the GGA-PBEsol level.

a = 4.849 Å, b = 4.849 Å, c = 4.849 Å
α = 90.00°, β = 90.00°, γ = 90.00°
Space group Pm-3m (No. 221)
Unique sites:
Te: 0.000 0.000 0.000 [1 per cell]
P: 0.500 0.500 0.500 [1 per cell]
Pd: 0.000 0.000 0.500 [3 per cell]

Calculated values
Formation energy without anion corrections (eV/atom): 0.87
Calculated density (g/cm3): 7.0
M_tot (μB/atom): 0.14